La2TbPr5Tm | PBE | relaxed

Cell: 10.542 10.542 10.542 Å, 131.62 131.62 70.84°
Sites, in units of the cell vectors:
La: 0.123 0.623 0.747
La: 0.377 0.123 0.500
La: 0.623 0.877 0.500
La: 0.877 0.377 0.253
Tb: 0.250 0.250 0.000
Tb: 0.750 0.750 0.000
Pr: 0.000 0.000 0.000
Pr: 0.078 0.131 0.500
Pr: 0.131 0.631 0.053
Pr: 0.369 0.422 0.500
Pr: 0.422 0.922 0.053
Pr: 0.500 0.500 0.000
Pr: 0.578 0.078 0.947
Pr: 0.631 0.578 0.500
Pr: 0.869 0.369 0.947
Pr: 0.922 0.869 0.500
Tm: 0.250 0.750 0.500
Tm: 0.750 0.250 0.500

SG	I4/mcm, No. 140
total moment	0.00	μB/cell
total energy	-4.516	eV per atom
ΔH_f (0 K)	2.2	eV/f.u.



NdTmInNi | PBE | relaxed

Cell: 7.282 7.282 7.282 Å, 90.00 90.00 90.00°
Sites, in units of the cell vectors:
Nd: 0.000 0.000 0.000
Nd: 0.000 0.500 0.500
Nd: 0.500 0.000 0.500
Nd: 0.500 0.500 0.000
Tm: 0.000 0.000 0.500
Tm: 0.000 0.500 0.000
Tm: 0.500 0.000 0.000
Tm: 0.500 0.500 0.500
In: 0.250 0.250 0.250
In: 0.250 0.750 0.750
In: 0.750 0.250 0.750
In: 0.750 0.750 0.250
Ni: 0.250 0.250 0.750
Ni: 0.250 0.750 0.250
Ni: 0.750 0.250 0.250
Ni: 0.750 0.750 0.750

SG	F-43m, No. 216
total moment	0.00	μB/cell
total energy	-4.711	eV per atom
ΔH_f (0 K)	-1.1	eV/f.u.



Tb2ErTh | PBE | relaxed

Cell: 3.563 3.563 34.668 Å, 90.00 90.00 120.00°
Sites, in units of the cell vectors:
Tb: 0.000 0.000 0.000
Tb: 0.000 0.000 0.168
Tb: 0.333 0.667 0.667
Tb: 0.333 0.667 0.835
Tb: 0.667 0.333 0.333
Tb: 0.667 0.333 0.502
Er: 0.000 0.000 0.584
Er: 0.333 0.667 0.251
Er: 0.667 0.333 0.917
Th: 0.000 0.000 0.750
Th: 0.333 0.667 0.416
Th: 0.667 0.333 0.083

SG	R3m, No. 160
total moment	0.00	μB/cell
total energy	-5.277	eV per atom
distance to the lowest polymorph of the same formula	7	meV per atom
ΔH_f (0 K)	0.1	eV/f.u.



Q: Number 2 is which compound?
A: NdTmInNi



Q: Number 1 is which compound?
A: La2TbPr5Tm



Q: What is the formula in the second record?
A: NdTmInNi